1.
First-principles (meta-GGA SCAN) data for a PBEsol-optimized structure of LaCdSb, as listed in the Alexandria database.

The value obtained for the uncorrected formation energy is -0.51 eV/atom.

The structure belongs to space group F-43m (No. 216); the cell edges are 7.370, 7.370 and 7.370 Å and the angles 90.00°, 90.00° and 90.00°. The inequivalent atoms are La at (0.000, 0.000, 0.000), Cd at (0.250, 0.250, 0.250) and Sb at (0.250, 0.250, 0.750).

=====

2.
First-principles (meta-GGA SCAN) data for a PBEsol-optimized structure of LaCdSb2, as listed in the Alexandria database.

The value obtained for the uncorrected formation energy is -0.63 eV/atom.

The structure belongs to space group I4/mmm (No. 139); the cell edges are 4.648, 4.648 and 9.774 Å and the angles 90.00°, 90.00° and 90.00°. The inequivalent atoms are La at (0.000, 0.000, 0.000), Cd at (0.000, 0.000, 0.500) and Sb at (0.000, 0.500, 0.250).

=====

3.
First-principles (meta-GGA SCAN) data for a PBEsol-optimized structure of LaCdSb2, as listed in the Alexandria database.

The value obtained for the uncorrected formation energy is -0.02 eV/atom.

The structure belongs to space group R3m (No. 160, hexagonal axes); the cell edges are 3.3238, 3.3238 and 33.9721 Å and the angles 90.00°, 90.00° and 120.00°. The inequivalent atoms are La at (0.0000, 0.0000, 0.0000), Cd at (0.0000, 0.0000, 0.2498), Sb at (0.0000, 0.0000, 0.5085) and Sb at (0.0000, 0.0000, 0.7478).

=====

4.
First-principles (meta-GGA SCAN) data for a PBEsol-optimized structure of LaCdSb2, as listed in the Alexandria database.

The value obtained for the uncorrected formation energy is -0.68 eV/atom.

The structure belongs to space group P4/mmm (No. 123); the cell edges are 4.885, 4.885 and 4.372 Å and the angles 90.00°, 90.00° and 90.00°. The inequivalent atoms are La at (0.000, 0.000, 0.000), Cd at (0.500, 0.500, 0.000) and Sb at (0.000, 0.500, 0.500).

=====

5.
First-principles (meta-GGA SCAN) data for a PBEsol-optimized structure of La2CdSb, as listed in the Alexandria database.

The value obtained for the uncorrected formation energy is -0.84 eV/atom.

The structure belongs to space group P4/mmm (No. 123); the cell edges are 4.063, 4.063 and 6.998 Å and the angles 90.00°, 90.00° and 90.00°. The inequivalent atoms are La at (0.000, 0.000, 0.241), Cd at (0.500, 0.500, 0.500) and Sb at (0.500, 0.500, 0.000).

=====

6.
First-principles (meta-GGA SCAN) data for a PBEsol-optimized structure of LaCdSb4, as listed in the Alexandria database.

The value obtained for the uncorrected formation energy is -0.21 eV/atom.

The structure belongs to space group F-43m (No. 216); the cell edges are 8.773, 8.773 and 8.773 Å and the angles 90.00°, 90.00° and 90.00°. The inequivalent atoms are La at (0.000, 0.000, 0.000), Cd at (0.250, 0.250, 0.250) and Sb at (0.124, 0.124, 0.624).

=====

7.
First-principles (meta-GGA SCAN) data for a PBEsol-optimized structure of La3CdSb, as listed in the Alexandria database.

The value obtained for the uncorrected formation energy is -0.17 eV/atom.

The structure belongs to space group Pm-3m (No. 221); the cell edges are 5.932, 5.932 and 5.932 Å and the angles 90.00°, 90.00° and 90.00°. The inequivalent atoms are La at (0.000, 0.000, 0.500), Cd at (0.500, 0.500, 0.500) and Sb at (0.000, 0.000, 0.000).

=====

8.
First-principles (meta-GGA SCAN) data for a PBEsol-optimized structure of LaCdSb2, as listed in the Alexandria database.

The value obtained for the uncorrected formation energy is -0.23 eV/atom.

The structure belongs to space group P4mm (No. 99); the cell edges are 3.351, 3.351 and 9.612 Å and the angles 90.00°, 90.00° and 90.00°. The inequivalent atoms are La at (0.000, 0.000, 0.000), Cd at (0.500, 0.500, 0.749), Sb at (0.000, 0.000, 0.535) and Sb at (0.500, 0.500, 0.244).

=====

Number 1: total magnetization 0.00 μB/f.u., N(E_F) 0.08 states/eV/atom. Number 2: total magnetization 0.00 μB/f.u., N(E_F) 0.41 states/eV/atom. Number 3: total magnetization 0.00 μB/f.u., N(E_F) 0.86 states/eV/atom. Number 4: total magnetization 0.00 μB/f.u., N(E_F) 0.49 states/eV/atom. Number 5: total magnetization 0.81 μB/f.u., N(E_F) 0.47 states/eV/atom. Number 6: total magnetization 0.00 μB/f.u., N(E_F) 0.67 states/eV/atom. Number 7: total magnetization 0.00 μB/f.u., N(E_F) 1.73 states/eV/atom. Number 8: total magnetization 0.00 μB/f.u., N(E_F) 0.50 states/eV/atom.